The following is a DFT calculation (PBE-GGA) of a relaxed TbFeGe2Os crystal.

It has space group I-4m2 (No. 119), with a = 4.0725 Å, b = 4.0725 Å, c = 10.4064 Å, α = 90.00°, β = 90.00° and γ = 90.00°. The asymmetric unit holds Tb at (0.0000, 0.0000, 0.0000), Fe at (0.0000, 0.5000, 0.2500), Ge at (0.0000, 0.0000, 0.3769) and Os at (0.0000, 0.5000, 0.7500).

The value obtained for the energy of formation from the pure elements is -40.3 kJ/mol of atoms. The density of states at the Fermi level comes out at 0.9338 states/eV per atom.